CaTbAs2 | GGA-PBE | optimized geometry

Calculated values
Formation enthalpy at 0 K = -1.085 eV per atom
Relative energy among the computed polymorphs = 109 meV/atom
Symmetry = No. 160

Cell lengths 4.305, 4.305, 7.153 Å; angles 72.49, 72.49, 60.00 degrees
Element x y z (fractional)
Ca  0.670  0.670  0.990
Tb  0.496  0.496  0.511
As  0.089  0.089  0.734
As  0.245  0.245  0.266

***

CaTb3As4 | GGA-PBE | optimized geometry

Calculated values
Formation enthalpy at 0 K = -1.362 eV per atom
Symmetry = No. 221

Cell lengths 5.880, 5.880, 5.880 Å; angles 90.00, 90.00, 90.00 degrees
Element x y z (fractional)
Ca  0.000  0.000  0.000
Tb  0.000  0.500  0.500
Tb  0.500  0.000  0.500
Tb  0.500  0.500  0.000
As  0.500  0.000  0.000
As  0.000  0.500  0.000
As  0.000  0.000  0.500
As  0.500  0.500  0.500

***

CaTb5As6 | GGA-PBE | optimized geometry

Calculated values
Formation enthalpy at 0 K = -1.437 eV per atom
Symmetry = No. 12

Cell lengths 7.195, 7.195, 7.209 Å; angles 99.56, 99.56, 120.06 degrees
Element x y z (fractional)
Ca  0.000  0.000  0.000
Tb  0.835  0.165  0.500
Tb  0.667  0.333  0.000
Tb  0.500  0.500  0.500
Tb  0.333  0.667  0.000
Tb  0.165  0.835  0.500
As  0.423  0.084  0.253
As  0.916  0.577  0.747
As  0.255  0.255  0.747
As  0.745  0.745  0.253
As  0.084  0.423  0.253
As  0.577  0.916  0.747

***

Ca3TbTh2As6 | GGA-PBE | optimized geometry

Calculated values
Formation enthalpy at 0 K = -1.301 eV per atom
Symmetry = No. 12

Cell lengths 7.391, 7.391, 7.324 Å; angles 99.68, 99.68, 120.01 degrees
Element x y z (fractional)
Ca  0.167  0.833  0.500
Ca  0.833  0.167  0.500
Ca  0.500  0.500  0.500
Tb  0.000  0.000  0.000
Th  0.333  0.667  0.000
Th  0.667  0.333  0.000
As  0.920  0.588  0.759
As  0.749  0.749  0.241
As  0.080  0.412  0.241
As  0.588  0.920  0.759
As  0.251  0.251  0.759
As  0.412  0.080  0.241

***

CaTbTh2As4 | GGA-PBE | optimized geometry

Calculated values
Formation enthalpy at 0 K = -1.420 eV per atom
Symmetry = No. 10

Cell lengths 4.243, 7.356, 7.266 Å; angles 109.64, 90.00, 90.00 degrees
Element x y z (fractional)
Ca  0.500  0.500  0.000
Tb  0.000  0.000  0.000
Th  0.500  0.000  0.500
Th  0.000  0.500  0.500
As  0.500  0.247  0.247
As  0.500  0.753  0.753
As  0.000  0.247  0.749
As  0.000  0.753  0.251

***

Ca2TbThAs4 | GGA-PBE | optimized geometry

Calculated values
Formation enthalpy at 0 K = -1.273 eV per atom
Symmetry = No. 10

Cell lengths 4.259, 7.339, 7.325 Å; angles 109.66, 90.00, 90.00 degrees
Element x y z (fractional)
Ca  0.500  0.000  0.500
Ca  0.000  0.500  0.500
Tb  0.000  0.000  0.000
Th  0.500  0.500  0.000
As  0.500  0.244  0.239
As  0.500  0.756  0.761
As  0.000  0.250  0.758
As  0.000  0.750  0.242

***

CaTb3Th2As6 | GGA-PBE | optimized geometry

Calculated values
Formation enthalpy at 0 K = -1.459 eV per atom
Symmetry = No. 12

Cell lengths 4.206, 8.401, 9.377 Å; angles 102.99, 102.96, 90.00 degrees
Element x y z (fractional)
Ca  0.500  0.000  0.000
Tb  0.500  0.500  0.000
Tb  0.835  0.166  0.671
Tb  0.165  0.834  0.329
Th  0.836  0.672  0.672
Th  0.164  0.328  0.328
As  0.331  0.919  0.662
As  0.666  0.586  0.333
As  0.669  0.081  0.338
As  0.999  0.256  0.998
As  0.001  0.744  0.002
As  0.334  0.414  0.667

***

CaTbTm2As4 | GGA-PBE | optimized geometry

Calculated values
Formation enthalpy at 0 K = -1.359 eV per atom
Symmetry = No. 10

Cell lengths 4.108, 7.169, 7.146 Å; angles 70.76, 90.00, 90.00 degrees
Element x y z (fractional)
Ca  0.500  0.500  0.000
Tb  0.000  0.500  0.500
Tm  0.000  0.000  0.000
Tm  0.500  0.000  0.500
As  0.000  0.761  0.742
As  0.000  0.239  0.258
As  0.500  0.757  0.251
As  0.500  0.243  0.749